BaBS2O8: relaxed, PBE.

Cell: 4.680 6.182 6.674 Å, 69.53 69.48 67.76°
Last column: magnetic moment on the atom in μB.
Fractional positions:
1 Ba 0.500 0.500 0.500  0.01
2 B 0.000 0.000 0.000  0.44
3 S 0.321 0.206 0.151  0.03
4 S 0.679 0.794 0.849  0.03
5 O 0.828 0.686 0.658  0.01
6 O 0.658 0.621 0.062  0.00
7 O 0.172 0.314 0.342  0.01
8 O 0.342 0.379 0.938  0.00
9 O 0.651 0.037 0.181  0.00
10 O 0.349 0.963 0.819  0.00
11 O 0.131 0.037 0.181  0.00
12 O 0.869 0.963 0.819  0.00

total magnetization	1.0	μB/f.u.
formation energy (no corrections)	-16.9	eV/f.u.
VASP energy	-73.44	eV for the cell shown
SG	C2/m, No. 12